Record 1
# Zr12ScIn3, optimized geometry, DFT GGA-PBE
data_Zr12ScIn3
_chemical_formula_sum 'Zr12 Sc1 In3'
_cell_length_a 4.4874
_cell_length_b 4.4874
_cell_length_c 17.9919
_cell_angle_alpha 90.00
_cell_angle_beta 90.00
_cell_angle_gamma 90.00
_space_group_name_H-M_alt 'P 4/m m m'
_space_group_IT_number 123
_space_group_name_Hall '-P 4 2'
loop_
_atom_site_label
_atom_site_type_symbol
_atom_site_fract_x
_atom_site_fract_y
_atom_site_fract_z
_atom_site_occupancy
Zr1 Zr 0.0000 0.0000 0.0000 1
Zr2 Zr 0.0000 0.0000 0.2467 1
Zr3 Zr 0.0000 0.0000 0.5000 1
Zr4 Zr 0.0000 0.5000 0.1238 1
Zr5 Zr 0.0000 0.5000 0.3736 1
Sc1 Sc 0.5000 0.5000 0.5000 1
In1 In 0.5000 0.5000 0.0000 1
In2 In 0.5000 0.5000 0.2484 1
# E_tot in eV/atom: -7.49
# Formation enthalpy at 0 K in eV per atom: -0.174
# Size of the total moment in Bohr magnetons per cell: 0.00



Record 2
# Zr2ScIn3, optimized geometry, DFT GGA-PBE
data_Zr2ScIn3
_chemical_formula_sum 'Zr4 Sc2 In6'
_cell_length_a 4.4825
_cell_length_b 13.4856
_cell_length_c 4.4097
_cell_angle_alpha 90.00
_cell_angle_beta 90.00
_cell_angle_gamma 90.00
_space_group_name_H-M_alt 'C m m m'
_space_group_IT_number 65
_space_group_name_Hall '-C 2 2'
loop_
_atom_site_label
_atom_site_type_symbol
_atom_site_fract_x
_atom_site_fract_y
_atom_site_fract_z
_atom_site_occupancy
Zr1 Zr 0.0000 0.1670 0.0000 1
Sc1 Sc 0.0000 0.5000 0.0000 1
In1 In 0.0000 0.0000 0.5000 1
In2 In 0.0000 0.3337 0.5000 1
# E_tot in eV/atom: -5.62
# Formation enthalpy at 0 K in eV per atom: -0.346
# Size of the total moment in Bohr magnetons per cell: 0.00
# Energy relative to the lowest polymorph listed for this composition in meV/atom: 2